## CaPbSI2 (PBEsol)

Data for a relaxed structure of CaPbSI2.

a = 5.538 Å, b = 5.538 Å, c = 12.300 Å
α = 90.00°, β = 90.00°, γ = 90.00°
Each line ends with the local moment (μB).
Fractional coordinates of all 5 atoms:
I  0.500  0.000  0.000  0.00
Ca  0.000  0.000  0.000  0.00
I  0.000  0.500  0.000  0.00
Pb  0.000  0.000  0.500  -0.13
S  0.500  0.500  0.500  0.20

Properties
Crystal system: tetragonal
Uncorrected formation energy in kJ per mole of atoms: 9.78
Volume in Å³ per cell: 377.2
SG: No. 123

## Ca3PdI (PBEsol)

Data for a relaxed structure of Ca3PdI.

a = 5.567 Å, b = 5.567 Å, c = 5.567 Å
α = 90.00°, β = 90.00°, γ = 90.00°
Fractional coordinates of all 5 atoms:
Ca  0.000  0.000  0.500
Ca  0.500  0.000  0.000
Ca  0.000  0.500  0.000
Pd  0.000  0.000  0.000
I  0.500  0.500  0.500

Properties
Crystal system: cubic
Uncorrected formation energy in kJ per mole of atoms: -52.46
Volume in Å³ per cell: 172.5
SG: No. 221

## CaPdSe2I (PBEsol)

Data for a relaxed structure of CaPdSe2I.

a = 4.755 Å, b = 4.755 Å, c = 6.084 Å
α = 90.00°, β = 90.00°, γ = 90.00°
Fractional coordinates of all 5 atoms:
I  0.500  0.500  0.500
Se  0.500  0.000  0.000
Ca  0.000  0.000  0.500
Pd  0.000  0.000  0.000
Se  0.000  0.500  0.000

Properties
Crystal system: tetragonal
Uncorrected formation energy in kJ per mole of atoms: -44.00
Volume in Å³ per cell: 137.5
SG: No. 123

## CaTePdI2 (PBEsol)

Data for a relaxed structure of CaTePdI2.

a = 5.812 Å, b = 5.812 Å, c = 5.918 Å
α = 90.00°, β = 90.00°, γ = 90.00°
Each line ends with the local moment (μB).
Fractional coordinates of all 5 atoms:
Pd  0.500  0.500  0.500  0.54
I  0.500  0.000  0.000  0.11
Te  0.000  0.000  0.500  0.48
Ca  0.000  0.000  0.000  0.00
I  0.000  0.500  0.000  0.11

Properties
Crystal system: tetragonal
Uncorrected formation energy in kJ per mole of atoms: 16.72
Volume in Å³ per cell: 199.9
SG: No. 123

## CaPtI3 (PBEsol)

Data for a relaxed structure of CaPtI3.

a = 5.440 Å, b = 5.440 Å, c = 5.440 Å
α = 90.00°, β = 90.00°, γ = 90.00°
Fractional coordinates of all 5 atoms:
Ca  0.500  0.500  0.500
I  0.000  0.000  0.500
Pt  0.000  0.000  0.000
I  0.500  0.000  0.000
I  0.000  0.500  0.000

Properties
Crystal system: cubic
Uncorrected formation energy in kJ per mole of atoms: -48.85
Volume in Å³ per cell: 161.0
SG: No. 221

## CaTe2PtI (PBEsol)

Data for a relaxed structure of CaTe2PtI.

a = 5.308 Å, b = 5.308 Å, c = 5.430 Å
α = 90.00°, β = 90.00°, γ = 90.00°
Fractional coordinates of all 5 atoms:
Pt  0.000  0.000  0.000
Te  0.000  0.500  0.000
Te  0.500  0.000  0.000
I  0.000  0.000  0.500
Ca  0.500  0.500  0.500

Properties
Crystal system: tetragonal
Uncorrected formation energy in kJ per mole of atoms: -36.23
Volume in Å³ per cell: 153.0
SG: No. 123

## CaPt2WI (PBEsol)

Data for a relaxed structure of CaPt2WI.

a = 4.852 Å, b = 4.852 Å, c = 5.476 Å
α = 90.00°, β = 90.00°, γ = 90.00°
Each line ends with the local moment (μB).
Fractional coordinates of all 5 atoms:
W  0.000  0.000  0.500  2.97
Pt  0.500  0.000  0.000  0.16
Ca  0.000  0.000  0.000  0.08
I  0.500  0.500  0.500  0.02
Pt  0.000  0.500  0.000  0.16

Properties
Crystal system: tetragonal
Uncorrected formation energy in kJ per mole of atoms: 206.28
Volume in Å³ per cell: 128.9
SG: No. 123

## CaPtW2I (PBEsol)

Data for a relaxed structure of CaPtW2I.

a = 4.806 Å, b = 4.806 Å, c = 5.324 Å
α = 90.00°, β = 90.00°, γ = 90.00°
Fractional coordinates of all 5 atoms:
W  0.500  0.000  0.000
W  0.000  0.500  0.000
Ca  0.000  0.000  0.500
Pt  0.500  0.500  0.500
I  0.000  0.000  0.000

Properties
Crystal system: tetragonal
Uncorrected formation energy in kJ per mole of atoms: 216.41
Volume in Å³ per cell: 123.0
SG: No. 123

## Rb3CaI (PBEsol)

Data for a relaxed structure of Rb3CaI.

a = 7.002 Å, b = 7.002 Å, c = 7.002 Å
α = 90.00°, β = 90.00°, γ = 90.00°
Fractional coordinates of all 5 atoms:
Rb  0.500  0.000  0.000
Rb  0.000  0.000  0.500
Rb  0.000  0.500  0.000
I  0.000  0.000  0.000
Ca  0.500  0.500  0.500

Properties
Crystal system: cubic
Uncorrected formation energy in kJ per mole of atoms: -31.51
Volume in Å³ per cell: 343.2
SG: No. 221

## RbCa3I (PBEsol)

Data for a relaxed structure of RbCa3I.

a = 6.262 Å, b = 6.262 Å, c = 6.262 Å
α = 90.00°, β = 90.00°, γ = 90.00°
Each line ends with the local moment (μB).
Fractional coordinates of all 5 atoms:
Ca  0.000  0.000  0.500  0.06
Ca  0.500  0.000  0.000  0.06
I  0.000  0.000  0.000  0.01
Ca  0.000  0.500  0.000  0.06
Rb  0.500  0.500  0.500  0.01

Properties
Crystal system: cubic
Uncorrected formation energy in kJ per mole of atoms: -1.65
Volume in Å³ per cell: 245.6
SG: No. 221

## RbCaSe2I (PBEsol)

Data for a relaxed structure of RbCaSe2I.

a = 5.412 Å, b = 5.986 Å, c = 5.986 Å
α = 90.00°, β = 90.00°, γ = 90.00°
Fractional coordinates of all 5 atoms:
Se  0.000  0.000  0.500
Se  0.000  0.500  0.000
Rb  0.500  0.500  0.500
Ca  0.500  0.000  0.000
I  0.000  0.000  0.000

Properties
Crystal system: tetragonal
Uncorrected formation energy in kJ per mole of atoms: -30.32
Volume in Å³ per cell: 193.9
SG: No. 123

## Rb2CaTcI (PBEsol)

Data for a relaxed structure of Rb2CaTcI.

a = 6.032 Å, b = 6.598 Å, c = 6.598 Å
α = 90.00°, β = 90.00°, γ = 90.00°
Each line ends with the local moment (μB).
Fractional coordinates of all 5 atoms:
Rb  0.000  0.000  0.500  -0.01
Rb  0.000  0.500  0.000  -0.01
Tc  0.500  0.500  0.500  3.48
I  0.000  0.000  0.000  0.00
Ca  0.500  0.000  0.000  -0.04

Properties
Crystal system: tetragonal
Uncorrected formation energy in kJ per mole of atoms: 87.94
Volume in Å³ per cell: 262.6
SG: No. 123

## Ca2ReI (PBEsol)

Data for a relaxed structure of Ca2ReI.

a = 5.179 Å, b = 5.179 Å, c = 5.179 Å
α = 60.00°, β = 60.00°, γ = 60.00°
Each line ends with the local moment (μB).
Fractional coordinates of all 4 atoms:
Re  0.500  0.500  0.500  1.43
Ca  0.250  0.250  0.250  -0.01
I  0.000  0.000  0.000  0.06
Ca  0.750  0.750  0.750  -0.01

Properties
Crystal system: cubic
Uncorrected formation energy in kJ per mole of atoms: 55.75
Volume in Å³ per cell: 98.2
SG: No. 225

## CaRhI2 (PBEsol)

Data for a relaxed structure of CaRhI2.

a = 5.169 Å, b = 5.169 Å, c = 5.169 Å
α = 60.00°, β = 60.00°, γ = 60.00°
Each line ends with the local moment (μB).
Fractional coordinates of all 4 atoms:
I  0.750  0.750  0.750  0.07
I  0.250  0.250  0.250  0.07
Rh  0.500  0.500  0.500  0.84
Ca  0.000  0.000  0.000  0.00

Properties
Crystal system: cubic
Uncorrected formation energy in kJ per mole of atoms: -28.96
Volume in Å³ per cell: 97.6
SG: No. 225